Record 1
Here is a relaxed RbBN2 crystal from Alexandria. Energies are from PBE.

The structure in POSCAR format:
```
RbBN2
1.0
1.671 0.000 6.730
-0.835 1.447 6.730
-0.835 -1.447 6.730
B Rb N
1 1 2
Cartesian
0.000 0.000 10.096
0.000 0.000 0.000
0.000 0.000 17.607
0.000 0.000 2.585
```

Output
Space group: R-3m (166)
ΔE_f (raw) in eV/atom: 1.49

***

Record 2
Here is a relaxed Pr12Tl6Hg crystal from Alexandria. Energies are from PBE.

The structure in POSCAR format:
```
Pr12Tl6Hg
1.0
-6.112 -5.862 -0.594
5.235 -5.553 3.719
-2.935 2.579 7.537
Pr Tl Hg
12 6 1
Cartesian
-3.380 -6.629 4.782
0.009 -5.626 6.825
-3.418 -3.480 7.379
-0.432 -2.207 5.879
-3.821 -3.210 3.836
-0.394 -5.356 3.283
-0.863 0.014 3.106
-4.902 -6.338 8.938
-1.574 -6.656 9.864
-2.949 -8.850 7.555
1.090 -2.497 1.723
-2.238 -2.179 0.797
-0.575 -8.362 4.857
-3.343 -5.548 1.561
2.233 -4.055 4.792
-3.237 -0.473 5.804
-0.469 -3.288 9.100
-6.045 -4.781 5.869
0.000 0.000 0.000
```

Output
Space group: R-3 (148)
Energy of formation from the pure elements in meV/atom: -190

***

Record 3
Here is a relaxed NaAs2PSe crystal from Alexandria. Energies are from PBE.

The structure in POSCAR format:
```
NaAs2PSe
1.0
4.784 0.000 0.000
0.000 4.784 0.000
0.000 0.000 5.190
P As Se Na
1 2 1 1
Cartesian
0.000 0.000 0.000
0.000 2.392 0.000
2.392 0.000 0.000
0.000 0.000 2.595
2.392 2.392 2.595
```

Output
Polymorph energy (0 for the lowest one) in meV/atom: 0.0
Space group: P4/mmm (123)
ΔE_f (raw) in eV/atom: 0.28

***

no.,energy (eV per atom)
1,-4.5852
2,-3.9722
3,-3.6274